Material: Rb2AgBr6
Method: DFT, PBE-GGA
State: optimized geometry

Lattice parameters (Å, degrees): 5.601 8.744 7.993 123.16 89.87 90.00
Positions (direct):
Br (0.500, 0.215, 0.000)
Br (0.135, 0.383, 0.303)
Br (0.135, 0.920, 0.303)
Br (0.865, 0.080, 0.697)
Br (0.865, 0.617, 0.697)
Br (0.500, 0.785, 0.000)
Ag (0.000, 0.000, 0.000)
Rb (0.628, 0.668, 0.337)
Rb (0.372, 0.332, 0.663)

Computed properties:
Energy relative to the elements, uncorrected ... -0.7670 eV/atom